[1]
Crystalline CrCoTe at its relaxed geometry. Source: Alexandria, functional PBE.

**ΔE_f (raw)**: 1.2 eV per formula unit
**Symmetry**: Imm2
**N(E_F)**: 1.47 states/eV per atom

Unit cell a=4.653 b=4.653 c=4.653 alpha=135.99 beta=135.81 gamma=64.14
Each line ends with the local moment (μB).
Positions (direct):
Co  0.991  0.991  0.000  1.27
Cr  0.338  0.338  0.000  2.81
Te  0.671  0.671  0.000  -0.07


[2]
Crystalline CrCoTe at its relaxed geometry. Source: Alexandria, functional PBE.

**ΔE_f (raw)**: 1.1 eV per formula unit
**Symmetry**: F-43m
**N(E_F)**: 1.04 states/eV per atom

Unit cell a=4.160 b=4.160 c=4.160 alpha=60.00 beta=60.00 gamma=60.00
Each line ends with the local moment (μB).
Positions (direct):
Cr  0.750  0.750  0.750  1.55
Te  0.000  0.000  0.000  -0.01
Co  0.500  0.500  0.500  0.99